The following is a PBE-GGA calculation of a relaxed PrNdSm6Ho2 crystal, from Alexandria via LeMat-Bulk.

The structure in CIF format:
```
data_PrNdSm6Ho2
_chemical_formula_sum 'Pr4 Nd4 Sm24 Ho8'
_space_group_name_H-M_alt 'C 1 2/c 1'
_space_group_IT_number 15
_cell_length_a 9.311
_cell_length_b 15.210
_cell_length_c 9.681
_cell_angle_alpha 90.00
_cell_angle_beta 96.91
_cell_angle_gamma 90.00
loop_
_space_group_symop_operation_xyz
'x,y,z'
'-x,-y,-z'
'-x,y,-z+1/2'
'x,-y,z+1/2'
'x+1/2,y+1/2,z'
'-x+1/2,-y+1/2,-z'
'-x+1/2,y+1/2,-z+1/2'
'x+1/2,-y+1/2,z+1/2'
loop_
_atom_site_label
_atom_site_type_symbol
_atom_site_fract_x
_atom_site_fract_y
_atom_site_fract_z
_atom_site_occupancy
Pr1 Pr 0.000 0.031 0.250 1
Nd1 Nd 0.000 0.408 0.750 1
Sm1 Sm 0.066 0.179 0.943 1
Sm2 Sm 0.096 0.390 0.119 1
Sm3 Sm 0.210 0.227 0.319 1
Ho1 Ho 0.248 0.050 0.549 1
```

energy relative to the elements: 0.117 eV per atom
total energy: -4.584 eV per atom

---

The following is a PBE-GGA calculation of a relaxed Pr2Nd2SmHo2 crystal, from Alexandria via LeMat-Bulk.

The structure in CIF format:
```
data_Pr2Nd2SmHo2
_chemical_formula_sum 'Pr4 Nd4 Sm2 Ho4'
_space_group_name_H-M_alt 'C 1 2/m 1'
_space_group_IT_number 12
_cell_length_a 11.505
_cell_length_b 5.146
_cell_length_c 8.145
_cell_angle_alpha 90.00
_cell_angle_beta 98.11
_cell_angle_gamma 90.00
loop_
_space_group_symop_operation_xyz
'x,y,z'
'-x,-y,-z'
'-x,y,-z'
'x,-y,z'
'x+1/2,y+1/2,z'
'-x+1/2,-y+1/2,-z'
'-x+1/2,y+1/2,-z'
'x+1/2,-y+1/2,z'
loop_
_atom_site_label
_atom_site_type_symbol
_atom_site_fract_x
_atom_site_fract_y
_atom_site_fract_z
_atom_site_occupancy
Pr1 Pr 0.143 0.000 0.428 1
Nd1 Nd 0.071 0.500 0.719 1
Sm1 Sm 0.000 0.000 0.000 1
Ho1 Ho 0.215 0.500 0.140 1
```

energy relative to the elements: 0.017 eV per atom
total energy: -4.693 eV per atom

---

The following is a PBE-GGA calculation of a relaxed Pr6Nd2Sm3Ho crystal, from Alexandria via LeMat-Bulk.

The structure in CIF format:
```
data_Pr6Nd2Sm3Ho
_chemical_formula_sum 'Pr12 Nd4 Sm6 Ho2'
_space_group_name_H-M_alt 'C 1 2/m 1'
_space_group_IT_number 12
_cell_length_a 6.371
_cell_length_b 11.036
_cell_length_c 12.132
_cell_angle_alpha 90.00
_cell_angle_beta 100.10
_cell_angle_gamma 90.00
loop_
_space_group_symop_operation_xyz
'x,y,z'
'-x,-y,-z'
'-x,y,-z'
'x,-y,z'
'x+1/2,y+1/2,z'
'-x+1/2,-y+1/2,-z'
'-x+1/2,y+1/2,-z'
'x+1/2,-y+1/2,z'
loop_
_atom_site_label
_atom_site_type_symbol
_atom_site_fract_x
_atom_site_fract_y
_atom_site_fract_z
_atom_site_occupancy
Pr1 Pr 0.249 0.000 0.250 1
Pr2 Pr 0.249 0.166 0.750 1
Nd1 Nd 0.000 0.333 0.500 1
Sm1 Sm 0.000 0.167 0.000 1
Sm2 Sm 0.000 0.500 0.000 1
Ho1 Ho 0.000 0.000 0.500 1
```

energy relative to the elements: 0.012 eV per atom
total energy: -4.733 eV per atom

---

The following is a PBE-GGA calculation of a relaxed Pr6NdSm2Ho crystal, from Alexandria via LeMat-Bulk.

The structure in CIF format:
```
data_Pr6NdSm2Ho
_chemical_formula_sum 'Pr24 Nd4 Sm8 Ho4'
_space_group_name_H-M_alt 'C 1 2/c 1'
_space_group_IT_number 15
_cell_length_a 9.349
_cell_length_b 15.482
_cell_length_c 9.878
_cell_angle_alpha 90.00
_cell_angle_beta 98.08
_cell_angle_gamma 90.00
loop_
_space_group_symop_operation_xyz
'x,y,z'
'-x,-y,-z'
'-x,y,-z+1/2'
'x,-y,z+1/2'
'x+1/2,y+1/2,z'
'-x+1/2,-y+1/2,-z'
'-x+1/2,y+1/2,-z+1/2'
'x+1/2,-y+1/2,z+1/2'
loop_
_atom_site_label
_atom_site_type_symbol
_atom_site_fract_x
_atom_site_fract_y
_atom_site_fract_z
_atom_site_occupancy
Pr1 Pr 0.064 0.182 0.446 1
Pr2 Pr 0.099 0.394 0.618 1
Pr3 Pr 0.211 0.221 0.811 1
Nd1 Nd 0.000 0.022 0.750 1
Sm1 Sm 0.248 0.049 0.045 1
Ho1 Ho 0.000 0.410 0.250 1
```

energy relative to the elements: 0.111 eV per atom
total energy: -4.635 eV per atom

---

The following is a PBE-GGA calculation of a relaxed PrNd2SmHo crystal, from Alexandria via LeMat-Bulk.

The structure in CIF format:
```
data_PrNd2SmHo
_chemical_formula_sum 'Pr2 Nd4 Sm2 Ho2'
_space_group_name_H-M_alt 'P 1 2/c 1'
_space_group_IT_number 13
_cell_length_a 8.413
_cell_length_b 6.675
_cell_length_c 6.303
_cell_angle_alpha 90.00
_cell_angle_beta 92.87
_cell_angle_gamma 90.00
loop_
_space_group_symop_operation_xyz
'x,y,z'
'-x,-y,-z'
'-x,y,-z+1/2'
'x,-y,z+1/2'
loop_
_atom_site_label
_atom_site_type_symbol
_atom_site_fract_x
_atom_site_fract_y
_atom_site_fract_z
_atom_site_occupancy
Pr1 Pr 0.000 0.000 0.000 1
Nd1 Nd 0.309 0.308 0.233 1
Sm1 Sm 0.000 0.431 0.750 1
Ho1 Ho 0.500 0.162 0.750 1
```

energy relative to the elements: 0.266 eV per atom
total energy: -4.457 eV per atom

---

The following is a PBE-GGA calculation of a relaxed PrNdHoSn crystal, from Alexandria via LeMat-Bulk.

The structure in CIF format:
```
data_PrNdHoSn
_chemical_formula_sum 'Pr4 Nd4 Ho4 Sn4'
_space_group_name_H-M_alt 'F -4 3 m'
_space_group_IT_number 216
_space_group_name_Hall 'F -4 2 3'
_cell_length_a 7.840
_cell_length_b 7.840
_cell_length_c 7.840
_cell_angle_alpha 90.00
_cell_angle_beta 90.00
_cell_angle_gamma 90.00
loop_
_atom_site_label
_atom_site_type_symbol
_atom_site_fract_x
_atom_site_fract_y
_atom_site_fract_z
_atom_site_occupancy
Pr1 Pr 0.000 0.000 0.000 1
Nd1 Nd 0.000 0.000 0.500 1
Ho1 Ho 0.250 0.250 0.750 1
Sn1 Sn 0.250 0.250 0.250 1
```

energy relative to the elements: -0.261 eV per atom
total energy: -4.793 eV per atom

---

The following is a PBE-GGA calculation of a relaxed TbPrNd6Ho2 crystal, from Alexandria via LeMat-Bulk.

The structure in CIF format:
```
data_TbPrNd6Ho2
_chemical_formula_sum 'Tb4 Pr4 Nd24 Ho8'
_space_group_name_H-M_alt 'C 1 2/c 1'
_space_group_IT_number 15
_cell_length_a 9.295
_cell_length_b 15.335
_cell_length_c 9.780
_cell_angle_alpha 90.00
_cell_angle_beta 98.05
_cell_angle_gamma 90.00
loop_
_space_group_symop_operation_xyz
'x,y,z'
'-x,-y,-z'
'-x,y,-z+1/2'
'x,-y,z+1/2'
'x+1/2,y+1/2,z'
'-x+1/2,-y+1/2,-z'
'-x+1/2,y+1/2,-z+1/2'
'x+1/2,-y+1/2,z+1/2'
loop_
_atom_site_label
_atom_site_type_symbol
_atom_site_fract_x
_atom_site_fract_y
_atom_site_fract_z
_atom_site_occupancy
Tb1 Tb 0.000 0.029 0.250 1
Pr1 Pr 0.000 0.406 0.750 1
Nd1 Nd 0.065 0.176 0.945 1
Nd2 Nd 0.098 0.393 0.120 1
Nd3 Nd 0.208 0.225 0.317 1
Ho1 Ho 0.244 0.048 0.546 1
```

energy relative to the elements: 0.115 eV per atom
total energy: -4.603 eV per atom

---

The following is a PBE-GGA calculation of a relaxed TbPr3Nd6Ho2 crystal, from Alexandria via LeMat-Bulk.

The structure in CIF format:
```
data_TbPr3Nd6Ho2
_chemical_formula_sum 'Tb2 Pr6 Nd12 Ho4'
_space_group_name_H-M_alt 'C 1 2/m 1'
_space_group_IT_number 12
_cell_length_a 6.339
_cell_length_b 10.983
_cell_length_c 12.077
_cell_angle_alpha 90.00
_cell_angle_beta 100.10
_cell_angle_gamma 90.00
loop_
_space_group_symop_operation_xyz
'x,y,z'
'-x,-y,-z'
'-x,y,-z'
'x,-y,z'
'x+1/2,y+1/2,z'
'-x+1/2,-y+1/2,-z'
'-x+1/2,y+1/2,-z'
'x+1/2,-y+1/2,z'
loop_
_atom_site_label
_atom_site_type_symbol
_atom_site_fract_x
_atom_site_fract_y
_atom_site_fract_z
_atom_site_occupancy
Tb1 Tb 0.000 0.000 0.000 1
Pr1 Pr 0.000 0.167 0.500 1
Pr2 Pr 0.000 0.500 0.500 1
Nd1 Nd 0.249 0.167 0.245 1
Nd2 Nd 0.249 0.500 0.245 1
Ho1 Ho 0.000 0.333 0.000 1
```

energy relative to the elements: 0.016 eV per atom
total energy: -4.712 eV per atom

---

The following is a PBE-GGA calculation of a relaxed Tb2PrNd5Ho crystal, from Alexandria via LeMat-Bulk.

The structure in CIF format:
```
data_Tb2PrNd5Ho
_chemical_formula_sum 'Tb8 Pr4 Nd20 Ho4'
_space_group_name_H-M_alt 'C m c 21'
_space_group_IT_number 36
_cell_length_a 5.696
_cell_length_b 20.486
_cell_length_c 10.798
_cell_angle_alpha 90.00
_cell_angle_beta 90.00
_cell_angle_gamma 90.00
loop_
_space_group_symop_operation_xyz
'x,y,z'
'-x,-y,z+1/2'
'-x,y,z'
'x,-y,z+1/2'
'x+1/2,y+1/2,z'
'-x+1/2,-y+1/2,z+1/2'
'-x+1/2,y+1/2,z'
'x+1/2,-y+1/2,z+1/2'
loop_
_atom_site_label
_atom_site_type_symbol
_atom_site_fract_x
_atom_site_fract_y
_atom_site_fract_z
_atom_site_occupancy
Tb1 Tb 0.000 0.110 0.000 1
Tb2 Tb 0.000 0.117 0.581 1
Pr1 Pr 0.000 0.202 0.272 1
Nd1 Nd 0.000 0.016 0.285 1
Nd2 Nd 0.000 0.281 0.571 1
Nd3 Nd 0.000 0.296 0.966 1
Nd4 Nd 0.000 0.392 0.288 1
Nd5 Nd 0.000 0.479 0.006 1
Ho1 Ho 0.000 0.410 0.721 1
```

energy relative to the elements: 0.141 eV per atom
total energy: -4.576 eV per atom

---

The following is a PBE-GGA calculation of a relaxed Tb4Pr2NdHo crystal, from Alexandria via LeMat-Bulk.

The structure in CIF format:
```
data_Tb4Pr2NdHo
_chemical_formula_sum 'Tb4 Pr2 Nd1 Ho1'
_space_group_name_H-M_alt 'P 1 2/m 1'
_space_group_IT_number 10
_cell_length_a 5.102
_cell_length_b 5.123
_cell_length_c 10.173
_cell_angle_alpha 90.00
_cell_angle_beta 90.05
_cell_angle_gamma 90.00
loop_
_space_group_symop_operation_xyz
'x,y,z'
'-x,-y,-z'
'-x,y,-z'
'x,-y,z'
loop_
_atom_site_label
_atom_site_type_symbol
_atom_site_fract_x
_atom_site_fract_y
_atom_site_fract_z
_atom_site_occupancy
Tb1 Tb 0.000 0.000 0.247 1
Tb2 Tb 0.500 0.500 0.248 1
Pr1 Pr 0.000 0.500 0.000 1
Pr2 Pr 0.500 0.000 0.500 1
Nd1 Nd 0.000 0.500 0.500 1
Ho1 Ho 0.500 0.000 0.000 1
```

energy relative to the elements: 0.018 eV per atom
total energy: -4.660 eV per atom

---

The following is a PBE-GGA calculation of a relaxed Tb2Pr4NdHo2 crystal, from Alexandria via LeMat-Bulk.

The structure in CIF format:
```
data_Tb2Pr4NdHo2
_chemical_formula_sum 'Tb4 Pr8 Nd2 Ho4'
_space_group_name_H-M_alt 'C 1 2/m 1'
_space_group_IT_number 12
_cell_length_a 15.437
_cell_length_b 5.135
_cell_length_c 8.116
_cell_angle_alpha 90.00
_cell_angle_beta 108.32
_cell_angle_gamma 90.00
loop_
_space_group_symop_operation_xyz
'x,y,z'
'-x,-y,-z'
'-x,y,-z'
'x,-y,z'
'x+1/2,y+1/2,z'
'-x+1/2,-y+1/2,-z'
'-x+1/2,y+1/2,-z'
'x+1/2,-y+1/2,z'
loop_
_atom_site_label
_atom_site_type_symbol
_atom_site_fract_x
_atom_site_fract_y
_atom_site_fract_z
_atom_site_occupancy
Tb1 Tb 0.112 0.000 0.169 1
Pr1 Pr 0.054 0.500 0.832 1
Pr2 Pr 0.223 0.000 0.831 1
Nd1 Nd 0.000 0.000 0.500 1
Ho1 Ho 0.168 0.500 0.499 1
```

energy relative to the elements: 0.018 eV per atom
total energy: -4.682 eV per atom

---

The following is a PBE-GGA calculation of a relaxed TbPr6NdHo2 crystal, from Alexandria via LeMat-Bulk.

The structure in CIF format:
```
data_TbPr6NdHo2
_chemical_formula_sum 'Tb4 Pr24 Nd4 Ho8'
_space_group_name_H-M_alt 'C 1 2/c 1'
_space_group_IT_number 15
_cell_length_a 9.346
_cell_length_b 15.412
_cell_length_c 9.808
_cell_angle_alpha 90.00
_cell_angle_beta 98.10
_cell_angle_gamma 90.00
loop_
_space_group_symop_operation_xyz
'x,y,z'
'-x,-y,-z'
'-x,y,-z+1/2'
'x,-y,z+1/2'
'x+1/2,y+1/2,z'
'-x+1/2,-y+1/2,-z'
'-x+1/2,y+1/2,-z+1/2'
'x+1/2,-y+1/2,z+1/2'
loop_
_atom_site_label
_atom_site_type_symbol
_atom_site_fract_x
_atom_site_fract_y
_atom_site_fract_z
_atom_site_occupancy
Tb1 Tb 0.000 0.029 0.250 1
Pr1 Pr 0.064 0.175 0.945 1
Pr2 Pr 0.097 0.393 0.119 1
Pr3 Pr 0.211 0.224 0.315 1
Nd1 Nd 0.000 0.408 0.750 1
Ho1 Ho 0.244 0.048 0.547 1
```

energy relative to the elements: 0.113 eV per atom
total energy: -4.610 eV per atom

---

- What is the total energy in the third record?
  -4.733 eV per atom